Entry from Alexandria: Ac5TbPm after structural relaxation (PBE).

Calculated values
- Uncorrected energy: -4.050 eV/atom
- Density of states at the Fermi level: 1.46 states/eV/atom
- Crystal system: monoclinic
- SG: No. 15

Unit cell a=6.9953 b=7.1838 c=12.7641 alpha=94.03 beta=74.10 gamma=104.84
Positions (direct):
Ac: 0.2202 0.3402 0.0924
Ac: 0.1765 0.4973 0.5907
Ac: 0.3628 0.7500 0.2743
Ac: 0.2328 0.0027 0.5907
Ac: 0.3126 0.8402 0.9076
Ac: 0.6874 0.1598 0.0924
Ac: 0.7672 0.9973 0.4093
Ac: 0.6372 0.2500 0.7257
Ac: 0.8235 0.5027 0.4093
Ac: 0.7798 0.6598 0.9076
Tb: 0.0806 0.2500 0.8387
Tb: 0.9194 0.7500 0.1613
Pm: 0.3315 0.2500 0.3370
Pm: 0.6685 0.7500 0.6630